Below is an optimized crystal structure of LaGeRu2, with properties calculated at the PBE-GGA level.

Cell lengths 4.615, 4.615, 9.122 Å; angles 75.35, 75.35, 90.00 degrees
Atoms (fractional coordinates):
La 0.000 0.000 0.000
Ru 0.875 0.724 0.750
Ge 0.500 0.500 0.000
Ru 0.276 0.625 0.250
La 0.750 0.250 0.500
Ru 0.474 0.125 0.250
Ru 0.375 0.526 0.750
Ge 0.250 0.750 0.500

## Properties
ΔH_f (0 K) in meV/atom: -11
Total energy in eV per atom: -7.03
Spin magnetization in μB/atom: 0.00